Entry 1:
## Ac3YIr2 (PBE)

Data for Ac3YIr2 after structural relaxation.

POSCAR file:
```
Ac3YIr2
1.0
-4.375 0.193 -0.135
-2.616 -4.074 7.863
-2.006 8.806 6.459
Ac Y Ir
6 2 4
direct
0.058 0.078 0.805 Ac
0.942 0.922 0.195 Ac
0.683 0.681 0.954 Ac
0.317 0.319 0.046 Ac
0.815 0.808 0.562 Ac
0.185 0.192 0.438 Ac
0.445 0.420 0.690 Y
0.555 0.580 0.310 Y
0.875 0.392 0.858 Ir
0.125 0.608 0.142 Ir
0.624 0.130 0.622 Ir
0.376 0.870 0.378 Ir
```

Output
E_form (eV/atom): -0.57
E_tot (eV per atom): -6.65
Size of the total moment (Bohr magnetons per cell): 0.000
DOS(E_F) (states/eV/cell): 11.126

Entry 2:
## Rb2MoSeBr6 (PBE)

Data for Rb2MoSeBr6 after structural relaxation.

POSCAR file:
```
Rb2MoSeBr6
1.0
8.491 0.000 0.000
0.000 8.491 0.000
4.246 4.246 5.154
Mo Se Br Rb
1 1 6 2
direct
0.000 0.000 0.000 Mo
0.500 0.500 0.000 Se
0.252 0.252 0.496 Br
0.748 0.748 0.504 Br
0.216 0.216 0.000 Br
0.784 0.784 0.000 Br
0.784 0.216 0.000 Br
0.216 0.784 0.000 Br
0.750 0.250 0.500 Rb
0.250 0.750 0.500 Rb
```

Output
E_tot (eV per atom): -3.38
Size of the total moment (Bohr magnetons per cell): 2.000
ΔE_f (raw) (meV per atom): -751
DOS(E_F) (states/eV/cell): 6.074

Entry 3:
## Tm3Ag3Pt2 (PBE)

Data for Tm3Ag3Pt2 after structural relaxation.

POSCAR file:
```
Tm3Ag3Pt2
1.0
3.583 0.000 0.000
0.000 6.443 -3.720
0.000 0.000 7.440
Tm Ag Pt
3 3 2
direct
0.500 0.414 0.414 Tm
0.500 0.586 0.000 Tm
0.500 0.000 0.586 Tm
0.000 0.774 0.774 Ag
0.000 0.226 0.000 Ag
0.000 0.000 0.226 Ag
0.000 0.333 0.667 Pt
0.000 0.667 0.333 Pt
```

Output
E_form (eV/atom): -0.78
E_tot (eV per atom): -5.04
Size of the total moment (Bohr magnetons per cell): 0.000
DOS(E_F) (states/eV/cell): 5.971

Entry 4:
## Pr3PuSe6 (PBE)

Data for Pr3PuSe6 after structural relaxation.

POSCAR file:
```
Pr3PuSe6
1.0
4.264 0.000 0.000
0.000 11.920 0.067
0.000 -3.919 11.538
Pr Pu Se
6 2 12
direct
0.750 0.424 0.832 Pr
0.250 0.576 0.168 Pr
0.750 0.681 0.504 Pr
0.250 0.319 0.496 Pr
0.750 0.159 0.080 Pr
0.250 0.841 0.920 Pr
0.750 0.042 0.684 Pu
0.250 0.958 0.316 Pu
0.750 0.481 0.616 Se
0.250 0.519 0.384 Se
0.750 0.917 0.104 Se
0.250 0.083 0.896 Se
0.750 0.403 0.070 Se
0.250 0.597 0.930 Se
0.750 0.755 0.282 Se
0.250 0.245 0.718 Se
0.750 0.109 0.460 Se
0.250 0.891 0.540 Se
0.750 0.814 0.750 Se
0.250 0.186 0.250 Se
```

Output
E_tot (eV per atom): -6.69
Size of the total moment (Bohr magnetons per cell): 9.999
ΔE_f (raw) (meV per atom): -1730
DOS(E_F) (states/eV/cell): 24.911

Entry 5:
## Na3CrNi (PBE)

Data for Na3CrNi after structural relaxation.

POSCAR file:
```
Na3CrNi
1.0
-0.145 1.927 -5.232
-5.539 0.555 0.358
0.644 5.205 1.899
Ni Na Cr
1 3 1
direct
0.500 0.500 0.500 Ni
0.000 0.500 0.000 Na
0.000 0.000 0.500 Na
0.500 0.000 0.000 Na
0.000 0.000 0.000 Cr
```

Output
E_form (eV/atom): 1.29
E_tot (eV per atom): -2.58
Energy above the most stable polymorph in this dataset (meV/atom): 345
Size of the total moment (Bohr magnetons per cell): 5.198
DOS(E_F) (states/eV/cell): 22.052

Entry 6:
## Pm2ErTmP4 (PBE)

Data for Pm2ErTmP4 after structural relaxation.

POSCAR file:
```
Pm2ErTmP4
1.0
4.048 0.000 0.000
0.000 7.008 0.122
0.000 -2.450 6.560
Pm Er Tm P
2 1 1 4
direct
0.500 0.000 0.500 Pm
0.000 0.500 0.500 Pm
0.000 0.000 0.000 Er
0.500 0.500 0.000 Tm
0.500 0.247 0.240 P
0.500 0.753 0.760 P
0.000 0.254 0.761 P
0.000 0.746 0.239 P
```

Output
E_form (eV/atom): -1.58
E_tot (eV per atom): -6.60
Size of the total moment (Bohr magnetons per cell): 0.000
DOS(E_F) (states/eV/cell): 0.815

Entry 7:
## Hg3Bi3Pb5 (PBE)

Data for Hg3Bi3Pb5 after structural relaxation.

POSCAR file:
```
Hg3Bi3Pb5
1.0
-2.827 0.170 -2.013
4.664 -6.731 -7.119
-6.011 -3.990 8.105
Hg Bi Pb
3 3 5
direct
0.500 0.838 0.000 Hg
0.500 0.162 0.162 Hg
0.500 0.000 0.838 Hg
0.000 0.587 0.000 Bi
0.000 0.000 0.587 Bi
0.000 0.413 0.413 Bi
0.500 0.667 0.333 Pb
0.500 0.333 0.667 Pb
0.500 0.334 0.000 Pb
0.500 0.666 0.666 Pb
0.500 0.000 0.334 Pb
```

Output
E_form (eV/atom): 0.14
E_tot (eV per atom): -2.69
Size of the total moment (Bohr magnetons per cell): 0.000
DOS(E_F) (states/eV/cell): 7.758

Entry 8:
## RbBBr4 (PBE)

Data for RbBBr4 after structural relaxation.

POSCAR file:
```
RbBBr4
1.0
-6.880 1.321 0.927
1.781 -3.336 -6.124
-1.101 -8.921 4.540
Rb B Br
2 2 8
direct
0.622 0.780 0.250 Rb
0.378 0.220 0.750 Rb
0.307 0.179 0.250 B
0.693 0.821 0.750 B
0.164 0.864 0.250 Br
0.836 0.136 0.750 Br
0.626 0.279 0.250 Br
0.374 0.721 0.750 Br
0.780 0.710 0.913 Br
0.220 0.290 0.413 Br
0.780 0.710 0.587 Br
0.220 0.290 0.087 Br
```

Output
E_tot (eV per atom): -3.33
Energy above the most stable polymorph in this dataset (meV/atom): 0
Size of the total moment (Bohr magnetons per cell): 0.000
ΔE_f (raw) (meV per atom): -943
DOS(E_F) (states/eV/cell): 0.000

Entry 9:
## YCo2Re (PBE)

Data for YCo2Re after structural relaxation.

POSCAR file:
```
YCo2Re
1.0
3.049 0.000 0.000
0.000 3.053 0.000
0.000 0.000 6.747
Co Re Y
2 1 1
direct
0.000 0.000 0.062 Co
0.500 0.500 0.240 Co
0.000 0.000 0.434 Re
0.500 0.500 0.763 Y
```

Output
E_form (eV/atom): 0.27
E_tot (eV per atom): -8.02
Energy above the most stable polymorph in this dataset (meV/atom): 297
Size of the total moment (Bohr magnetons per cell): 1.832
DOS(E_F) (states/eV/cell): 5.952

Entry 10:
## Na3In3SbO8 (PBE)

Data for Na3In3SbO8 after structural relaxation.

POSCAR file:
```
Na3In3SbO8
1.0
6.610 0.000 0.000
-3.305 5.725 -0.020
0.000 -3.797 5.671
Na In Sb O
3 3 1 8
direct
0.000 0.000 0.000 Na
0.000 0.500 0.000 Na
0.500 0.500 0.000 Na
0.500 0.000 0.500 In
0.500 0.500 0.500 In
0.000 0.500 0.500 In
0.000 0.000 0.500 Sb
0.266 0.532 0.298 O
0.734 0.468 0.702 O
0.781 0.562 0.301 O
0.219 0.438 0.699 O
0.781 0.020 0.301 O
0.219 0.980 0.699 O
0.238 0.020 0.301 O
0.762 0.980 0.699 O
```

Output
E_tot (eV per atom): -5.29
Size of the total moment (Bohr magnetons per cell): 0.000
ΔE_f (raw) (meV per atom): -1561
DOS(E_F) (states/eV/cell): 0.867

Entry 11:
## Tb6CeIn (PBE)

Data for Tb6CeIn after structural relaxation.

POSCAR file:
```
Tb6CeIn
1.0
-2.227 0.005 4.363
-4.273 -0.993 -2.179
1.812 -9.855 0.936
Tb Ce In
6 1 1
direct
0.500 0.500 0.000 Tb
0.500 0.500 0.500 Tb
0.500 0.000 0.245 Tb
0.500 0.000 0.755 Tb
0.000 0.500 0.245 Tb
0.000 0.500 0.755 Tb
0.000 0.000 0.500 Ce
0.000 0.000 0.000 In
```

Output
E_form (eV/atom): -0.08
E_tot (eV per atom): -4.64
Size of the total moment (Bohr magnetons per cell): 1.491
DOS(E_F) (states/eV/cell): 12.164

Entry 12:
## Na2CdB (PBE)

Data for Na2CdB after structural relaxation.

POSCAR file:
```
Na2CdB
1.0
0.000 3.448 3.448
3.448 0.000 3.448
3.448 3.448 0.000
Na B Cd
2 1 1
direct
0.250 0.250 0.250 Na
0.750 0.750 0.750 Na
0.000 0.000 0.000 B
0.500 0.500 0.500 Cd
```

Output
E_form (eV/atom): 0.84
E_tot (eV per atom): -1.72
Energy above the most stable polymorph in this dataset (meV/atom): 306
Size of the total moment (Bohr magnetons per cell): 0.000
DOS(E_F) (states/eV/cell): 2.529